PIr8 | GGA-PBE | relaxed

formation energy: 0.18 eV per atom
space-group type: I4/mmm (139)

abc: 6.0824 6.0824 6.0824
angles: 96.02 96.02 142.22
Closest atoms and distances in Å follow each position.
Atoms (fractional coordinates):
P 0.0000 0.0000 0.0000  12 Ir 2.66-2.78
Ir 0.3294 0.6706 0.0000  10 Ir 2.68-2.78, 2 P 2.78
Ir 0.6706 0.3294 0.0000  10 Ir 2.68-2.78, 2 P 2.78
Ir 0.0000 0.3263 0.3263  1 P 2.66, 11 Ir 2.68-2.83
Ir 0.6706 0.6706 0.3412  10 Ir 2.68-2.78, 2 P 2.78
Ir 0.3263 0.0000 0.3263  1 P 2.66, 11 Ir 2.68-2.83
Ir 0.3294 0.3294 0.6588  10 Ir 2.68-2.78, 2 P 2.78
Ir 0.0000 0.6737 0.6737  1 P 2.66, 11 Ir 2.68-2.83
Ir 0.6737 0.0000 0.6737  1 P 2.66, 11 Ir 2.68-2.83